[1]
A plane-wave DFT calculation with PBE was carried out for a relaxed structure of TbSm2DyEr6.

Lattice parameters (Å, degrees): 8.966 14.945 9.599 90.00 98.77 90.00
Space group C2/c (No. 15)
Symmetry-distinct sites (fractional):
1 Tb 0.000 0.020 0.250 (multiplicity 4)
2 Sm 0.246 0.052 0.543 (multiplicity 8)
3 Dy 0.000 0.407 0.750 (multiplicity 4)
4 Er 0.065 0.190 0.943 (multiplicity 8)
5 Er 0.102 0.394 0.120 (multiplicity 8)
6 Er 0.202 0.224 0.315 (multiplicity 8)

[2]
A plane-wave DFT calculation with PBE was carried out for a relaxed structure of Tb5Sm2DyEr.

Lattice parameters (Å, degrees): 8.598 8.598 15.791 90.00 90.00 90.00
Space group I4/mcm (No. 140)
Symmetry-distinct sites (fractional):
1 Tb 0.000 0.000 0.000 (multiplicity 4)
2 Tb 0.212 0.288 0.140 (multiplicity 16)
3 Sm 0.118 0.382 0.500 (multiplicity 8)
4 Dy 0.000 0.000 0.250 (multiplicity 4)
5 Er 0.000 0.500 0.250 (multiplicity 4)

Number 1: density 8.5 g/cm3, E -4.486 eV per atom, formation enthalpy at 0 K 0.12 eV per atom. Number 2: density 8.1 g/cm3, E -4.355 eV per atom, formation enthalpy at 0 K 0.28 eV per atom.